1 | Below is a geometry-optimized BePtF3 structure, with properties calculated at the PBEsol level.

```
BePtF3
1.0
4.2123 0.0000 0.0000
0.0000 4.2123 0.0000
0.0000 0.0000 4.2123
Be Pt F
1 1 3
Cartesian
0.0000 0.0000 0.0000
2.1061 2.1061 2.1061
0.0000 2.1061 2.1061
2.1061 0.0000 2.1061
2.1061 2.1061 0.0000
```

Computed properties:
Crystal system: cubic
Space group: Pm-3m
Magnetic moment: 0.77 μB per cell

***

2 | Below is a geometry-optimized BePtF3 structure, with properties calculated at the PBEsol level.

```
BePtF3
1.0
3.6527 0.0000 0.0000
0.0000 3.6527 0.0000
0.0000 0.0000 3.6527
Be Pt F
1 1 3
Cartesian
0.0000 0.0000 0.0000
1.8264 1.8264 1.8264
0.0000 0.0000 1.8264
0.0000 1.8264 0.0000
1.8264 0.0000 0.0000
```

Computed properties:
Crystal system: cubic
Space group: Pm-3m
Magnetic moment: 1.09 μB per cell

***

Relative energies, unit eV/atom: 1 0.999; 2 0.000

***

1 | Below is a geometry-optimized Be3RhF structure, with properties calculated at the PBEsol level.

```
Be3RhF
1.0
3.6014 0.0000 0.0000
0.0000 3.6014 0.0000
0.0000 0.0000 3.6014
Be Rh F
3 1 1
Cartesian
0.0000 0.0000 1.8007
0.0000 1.8007 0.0000
1.8007 0.0000 0.0000
1.8007 1.8007 1.8007
0.0000 0.0000 0.0000
```

Computed properties:
Crystal system: cubic
Space group: Pm-3m
Magnetic moment: 0.00 μB per cell

***

2 | Below is a geometry-optimized Be3RhF structure, with properties calculated at the PBEsol level.

```
Be3RhF
1.0
4.1709 0.0000 0.0000
0.0000 4.1709 0.0000
0.0000 0.0000 4.1709
Be Rh F
3 1 1
Cartesian
0.0000 0.0000 2.0855
0.0000 2.0855 0.0000
2.0855 0.0000 0.0000
0.0000 0.0000 0.0000
2.0855 2.0855 2.0855
```

Computed properties:
Crystal system: cubic
Space group: Pm-3m
Magnetic moment: 0.00 μB per cell

***

Relative energies, unit eV/atom: 1 0.000; 2 0.822

***

1 | Below is a geometry-optimized Be3SiF structure, with properties calculated at the PBEsol level.

```
Be3SiF
1.0
3.7188 0.0000 0.0000
0.0000 3.7188 0.0000
0.0000 0.0000 3.7188
Be Si F
3 1 1
Cartesian
0.0000 0.0000 1.8594
0.0000 1.8594 0.0000
1.8594 0.0000 0.0000
1.8594 1.8594 1.8594
0.0000 0.0000 0.0000
```

Computed properties:
Crystal system: cubic
Space group: Pm-3m
Magnetic moment: 0.00 μB per cell

***

2 | Below is a geometry-optimized Be3SiF structure, with properties calculated at the PBEsol level.

```
Be3SiF
1.0
4.1551 0.0000 0.0000
0.0000 4.1551 0.0000
0.0000 0.0000 4.1551
Be Si F
3 1 1
Cartesian
0.0000 0.0000 2.0775
0.0000 2.0775 0.0000
2.0775 0.0000 0.0000
0.0000 0.0000 0.0000
2.0775 2.0775 2.0775
```

Computed properties:
Crystal system: cubic
Space group: Pm-3m
Magnetic moment: 0.00 μB per cell

***

Relative energies, unit eV/atom: 1 0.000; 2 0.340

***

1 | Below is a geometry-optimized ZrBeF2 structure, with properties calculated at the PBEsol level.

```
ZrBeF2
1.0
0.0000 2.8655 2.8655
2.8655 0.0000 2.8655
2.8655 2.8655 0.0000
Zr Be F
1 1 2
Cartesian
0.0000 0.0000 0.0000
2.8655 2.8655 2.8655
1.4328 1.4328 1.4328
4.2983 4.2983 4.2983
```

Computed properties:
Crystal system: cubic
Space group: Fm-3m
Magnetic moment: 0.08 μB per cell

***

2 | Below is a geometry-optimized ZrBeF2 structure, with properties calculated at the PBEsol level.

```
ZrBeF2
1.0
1.3706 0.7913 8.5080
-1.3706 0.7913 8.5080
0.0000 -1.5826 8.5080
Zr Be F
1 1 2
Cartesian
0.0000 0.0000 0.0000
0.0000 0.0000 12.7620
0.0000 0.0000 3.3910
0.0000 0.0000 22.1331
```

Computed properties:
Crystal system: trigonal
Space group: R-3m
Magnetic moment: 0.00 μB per cell

***

Relative energies, unit eV/atom: 1 0.677; 2 0.000